# 1
This record from Alexandria describes an optimized crystal structure of Ti5Ga3. The functional is PBE.

Output
The spin magnetization comes out at 0.00 Bohr magnetons per cell. Its density of states at the Fermi level is 1.0599 states/eV/atom. Its formation energy from the elements is -385 meV/atom. The value obtained for the calculated total energy is -51.6 eV/cell. For the distance to the lowest polymorph of the same formula, the calculation gives 3.9 kJ/mol of atoms.

Lattice parameters (Å, degrees): 5.5257 5.5257 4.5401 90.00 90.00 111.89
Fractional positions:
Ti 0.0000 0.0000 0.0000
Ti 0.0000 0.5000 0.0000
Ti 0.2706 0.2706 0.5000
Ti 0.5000 0.0000 0.0000
Ti 0.7294 0.7294 0.5000
Ga 0.2262 0.7738 0.5000
Ga 0.5000 0.5000 0.0000
Ga 0.7738 0.2262 0.5000



# 2
This record from Alexandria describes an optimized crystal structure of La2ReMo. The functional is PBE.

Output
The spin magnetization comes out at 0.00 Bohr magnetons per cell. Its density of states at the Fermi level is 1.2664 states/eV/atom. Its formation energy from the elements is 837 meV/atom. The value obtained for the calculated total energy is -29.8 eV/cell. For the distance to the lowest polymorph of the same formula, the calculation gives 63.5 kJ/mol of atoms.

Lattice parameters (Å, degrees): 5.2433 5.2433 5.8538 95.64 95.64 32.84
Fractional positions:
La 0.2480 0.2480 0.2531
La 0.7520 0.7520 0.7469
Re 0.5000 0.5000 0.5000
Mo 0.0000 0.0000 0.0000



# 3
This record from Alexandria describes an optimized crystal structure of Ta2TcS4. The functional is PBE.

Output
The spin magnetization comes out at 0.00 Bohr magnetons per cell. Its density of states at the Fermi level is 0.7719 states/eV/atom. The value obtained for the calculated total energy is -49.0 eV/cell.

Lattice parameters (Å, degrees): 6.9281 6.9281 6.9281 140.88 140.88 56.51
Fractional positions:
Ta 0.1109 0.1109 0.0000
Ta 0.8891 0.8891 0.0000
Tc 0.5000 0.5000 0.0000
S 0.0000 0.5000 0.5000
S 0.2987 0.2987 0.0000
S 0.5000 0.0000 0.5000
S 0.7013 0.7013 0.0000



# 4
This record from Alexandria describes an optimized crystal structure of CaIrRh2. The functional is PBE.

Output
The spin magnetization comes out at 0.00 Bohr magnetons per cell. Its density of states at the Fermi level is 1.5730 states/eV/atom. Its formation energy from the elements is 321 meV/atom. The value obtained for the calculated total energy is -48.6 eV/cell. For the distance to the lowest polymorph of the same formula, the calculation gives 40.3 kJ/mol of atoms.

Lattice parameters (Å, degrees): 9.5133 9.5133 9.5133 155.05 155.05 35.58
Fractional positions:
Ca 0.0000 0.0000 0.0000
Ca 0.7500 0.2500 0.5000
Ir 0.2500 0.7500 0.5000
Ir 0.5000 0.5000 0.0000
Rh 0.1917 0.6250 0.0667
Rh 0.3750 0.4417 0.5667
Rh 0.5583 0.1250 0.9333
Rh 0.8750 0.8083 0.4333



# 5
This record from Alexandria describes an optimized crystal structure of Ba2Hg5Pb. The functional is PBE.

Output
The spin magnetization comes out at 0.00 Bohr magnetons per cell. Its density of states at the Fermi level is 0.7730 states/eV/atom. Its formation energy from the elements is -393 meV/atom. The value obtained for the calculated total energy is -24.4 eV/cell.

Lattice parameters (Å, degrees): 9.8345 9.8345 10.3082 90.00 90.00 148.60
Fractional positions:
Ba 0.0000 0.0000 0.0000
Ba 0.0000 0.0000 0.5000
Ba 0.2089 0.7911 0.7500
Ba 0.7911 0.2089 0.2500
Hg 0.1870 0.8130 0.1023
Hg 0.1870 0.8130 0.3977
Hg 0.3490 0.6510 0.0204
Hg 0.3490 0.6510 0.4796
Hg 0.4024 0.5976 0.7500
Hg 0.5976 0.4024 0.2500
Hg 0.6510 0.3490 0.5204
Hg 0.6510 0.3490 0.9796
Hg 0.8130 0.1870 0.6023
Hg 0.8130 0.1870 0.8977
Pb 0.4421 0.5579 0.2500
Pb 0.5579 0.4421 0.7500



# 6
This record from Alexandria describes an optimized crystal structure of CdP. The functional is PBE.

Output
The spin magnetization comes out at 0.00 Bohr magnetons per cell. Its density of states at the Fermi level is 0.5681 states/eV/atom. Its formation energy from the elements is 460 meV/atom. The value obtained for the calculated total energy is -10.8 eV/cell. For the distance to the lowest polymorph of the same formula, the calculation gives 48.4 kJ/mol of atoms.

Lattice parameters (Å, degrees): 5.8805 5.8805 5.8805 141.17 141.17 56.09
Fractional positions:
Cd 0.3750 0.6250 0.7500
Cd 0.6250 0.3750 0.2500
P 0.1250 0.8750 0.2500
P 0.8750 0.1250 0.7500



# 7
This record from Alexandria describes an optimized crystal structure of ZrReMo. The functional is PBE.

Output
The spin magnetization comes out at 0.00 Bohr magnetons per cell. Its density of states at the Fermi level is 0.7357 states/eV/atom. Its formation energy from the elements is -44 meV/atom. The value obtained for the calculated total energy is -32.0 eV/cell. For the distance to the lowest polymorph of the same formula, the calculation gives 20.7 kJ/mol of atoms.

Lattice parameters (Å, degrees): 4.5389 4.5389 2.8788 90.00 90.00 120.00
Fractional positions:
Zr 0.0000 0.0000 0.0000
Re 0.3333 0.6667 0.6466
Mo 0.6667 0.3333 0.3399



# 8
This record from Alexandria describes an optimized crystal structure of Ce6Mg23P. The functional is PBE.

Output
The spin magnetization comes out at 6.52 Bohr magnetons per cell. Its density of states at the Fermi level is 1.7895 states/eV/atom. Its formation energy from the elements is -123 meV/atom. The value obtained for the calculated total energy is -81.4 eV/cell.

Lattice parameters (Å, degrees): 10.1957 10.1957 10.1957 60.00 60.00 60.00
Fractional positions:
Ce 0.1980 0.1980 0.8020
Ce 0.1980 0.8020 0.1980
Ce 0.1980 0.8020 0.8020
Ce 0.8020 0.1980 0.1980
Ce 0.8020 0.1980 0.8020
Ce 0.8020 0.8020 0.1980
Mg 0.0000 0.0000 0.5000
Mg 0.0000 0.5000 0.0000
Mg 0.0000 0.5000 0.5000
Mg 0.1372 0.6209 0.6209
Mg 0.1700 0.1700 0.1700
Mg 0.1700 0.1700 0.4899
Mg 0.1700 0.4899 0.1700
Mg 0.3791 0.3791 0.3791
Mg 0.3791 0.3791 0.8628
Mg 0.3791 0.8628 0.3791
Mg 0.4899 0.1700 0.1700
Mg 0.5000 0.0000 0.0000
Mg 0.5000 0.0000 0.5000
Mg 0.5000 0.5000 0.0000
Mg 0.5000 0.5000 0.5000
Mg 0.5101 0.8300 0.8300
Mg 0.6209 0.1372 0.6209
Mg 0.6209 0.6209 0.1372
Mg 0.6209 0.6209 0.6209
Mg 0.8300 0.5101 0.8300
Mg 0.8300 0.8300 0.5101
Mg 0.8300 0.8300 0.8300
Mg 0.8628 0.3791 0.3791
P 0.0000 0.0000 0.0000



# 9
This record from Alexandria describes an optimized crystal structure of YTmNiIr. The functional is PBE.

Output
The spin magnetization comes out at 0.00 Bohr magnetons per cell. Its density of states at the Fermi level is 0.4788 states/eV/atom. Its formation energy from the elements is -671 meV/atom. The value obtained for the calculated total energy is -28.3 eV/cell.

Lattice parameters (Å, degrees): 4.7945 4.7945 4.7945 60.00 60.00 60.00
Fractional positions:
Y 0.0000 0.0000 0.0000
Tm 0.5000 0.5000 0.5000
Ni 0.7500 0.7500 0.7500
Ir 0.2500 0.2500 0.2500



# 10
This record from Alexandria describes an optimized crystal structure of SiTeH. The functional is PBE.

Output
The spin magnetization comes out at 0.00 Bohr magnetons per cell. The value obtained for the calculated total energy is -23.2 eV/cell.

Lattice parameters (Å, degrees): 3.8522 5.8915 7.5173 108.70 90.05 108.95
Fractional positions:
Si 0.0000 0.0000 0.0000
Si 0.2062 0.4135 0.9606
Te 0.3929 0.7857 0.7638
Te 0.8130 0.6273 0.1969
H 0.5691 0.1721 0.5157
H 0.6045 0.2419 0.4455



# 11
This record from Alexandria describes an optimized crystal structure of Ta2OsPb. The functional is PBE.

Output
The spin magnetization comes out at 0.00 Bohr magnetons per cell. Its density of states at the Fermi level is 0.4669 states/eV/atom. Its formation energy from the elements is 339 meV/atom. The value obtained for the calculated total energy is -37.3 eV/cell.

Lattice parameters (Å, degrees): 3.0998 4.0943 6.1355 90.00 90.00 90.00
Fractional positions:
Ta 0.0000 0.0000 0.0000
Ta 0.5000 0.5000 0.2270
Os 0.0000 0.0000 0.4036
Pb 0.5000 0.5000 0.7132



# 12
This record from Alexandria describes an optimized crystal structure of Pm8H4C3N. The functional is PBE.

Output
The spin magnetization comes out at 0.00 Bohr magnetons per cell. Its density of states at the Fermi level is 0.4948 states/eV/atom. The value obtained for the calculated total energy is -95.5 eV/cell.

Lattice parameters (Å, degrees): 7.3636 7.3636 7.3636 59.89 59.89 59.89
Fractional positions:
Pm 0.2439 0.2439 0.2439
Pm 0.2447 0.7417 0.7417
Pm 0.2583 0.2583 0.7553
Pm 0.2583 0.7553 0.2583
Pm 0.7417 0.2447 0.7417
Pm 0.7417 0.7417 0.2447
Pm 0.7553 0.2583 0.2583
Pm 0.7561 0.7561 0.7561
H 0.0000 0.0000 0.0000
H 0.0000 0.5000 0.5000
H 0.5000 0.0000 0.5000
H 0.5000 0.5000 0.0000
C 0.0000 0.0000 0.5000
C 0.0000 0.5000 0.0000
C 0.5000 0.0000 0.0000
N 0.5000 0.5000 0.5000



# 13
This record from Alexandria describes an optimized crystal structure of Th3SbH3. The functional is PBE.

Output
The spin magnetization comes out at 0.00 Bohr magnetons per cell. Its density of states at the Fermi level is 0.6645 states/eV/atom. The value obtained for the calculated total energy is -78.7 eV/cell. For the distance to the lowest polymorph of the same formula, the calculation gives 1.5 kJ/mol of atoms.

Lattice parameters (Å, degrees): 8.1677 8.1677 8.1677 50.23 50.23 50.23
Fractional positions:
Th 0.1000 0.7761 0.4072
Th 0.2239 0.5928 0.9000
Th 0.4072 0.1000 0.7761
Th 0.5928 0.9000 0.2239
Th 0.7761 0.4072 0.1000
Th 0.9000 0.2239 0.5928
Sb 0.3318 0.3318 0.3318
Sb 0.6682 0.6682 0.6682
H 0.1233 0.4745 0.7885
H 0.2115 0.8767 0.5255
H 0.4745 0.7885 0.1233
H 0.5255 0.2115 0.8767
H 0.7885 0.1233 0.4745
H 0.8767 0.5255 0.2115



# 14
This record from Alexandria describes an optimized crystal structure of GaTc2Te. The functional is PBE.

Output
The spin magnetization comes out at 1.59 Bohr magnetons per cell. Its density of states at the Fermi level is 1.0602 states/eV/atom. The value obtained for the calculated total energy is -49.7 eV/cell. For the distance to the lowest polymorph of the same formula, the calculation gives 38.5 kJ/mol of atoms.

Lattice parameters (Å, degrees): 9.2603 9.2603 9.2603 154.01 154.01 37.08
Fractional positions:
Ga 0.0000 0.0000 0.0000
Ga 0.7500 0.2500 0.5000
Tc 0.0589 0.6250 0.9339
Tc 0.3750 0.3089 0.4339
Tc 0.6911 0.1250 0.0661
Tc 0.8750 0.9411 0.5661
Te 0.2500 0.7500 0.5000
Te 0.5000 0.5000 0.0000



# 15
This record from Alexandria describes an optimized crystal structure of SrLiLuCd. The functional is PBE.

Output
The spin magnetization comes out at 0.00 Bohr magnetons per cell. Its density of states at the Fermi level is 0.9753 states/eV/atom. Its formation energy from the elements is -40 meV/atom. The value obtained for the calculated total energy is -9.2 eV/cell.

Lattice parameters (Å, degrees): 5.4563 5.4563 5.4563 60.00 60.00 60.00
Fractional positions:
Sr 0.0000 0.0000 0.0000
Li 0.7500 0.7500 0.7500
Lu 0.5000 0.5000 0.5000
Cd 0.2500 0.2500 0.2500



# 16
This record from Alexandria describes an optimized crystal structure of Al2Cu. The functional is PBE.

Output
The spin magnetization comes out at 0.00 Bohr magnetons per cell. Its density of states at the Fermi level is 0.4973 states/eV/atom. Its formation energy from the elements is -161 meV/atom. The value obtained for the calculated total energy is -24.1 eV/cell.

Lattice parameters (Å, degrees): 4.9236 4.9236 4.9236 104.33 104.33 120.33
Fractional positions:
Al 0.1586 0.6586 0.8172
Al 0.3414 0.1586 0.5000
Al 0.6586 0.8414 0.5000
Al 0.8414 0.3414 0.1828
Cu 0.2500 0.2500 0.0000
Cu 0.7500 0.7500 0.0000